Compound: BAs2S
Source: the Alexandria database
Functional: GGA-PBE
Structure: optimized geometry

Cell: 5.852 5.852 5.852 Å, 120.01 120.01 89.98°
Fractional coordinates of all 8 atoms:
B 0.000 0.000 0.000
B 0.750 0.250 0.500
As 0.057 0.625 0.932
As 0.375 0.307 0.432
As 0.693 0.125 0.068
As 0.875 0.943 0.568
S 0.250 0.750 0.500
S 0.500 0.500 0.000

## Properties
* energy: -4.60 eV per atom
* energy above the lowest structure with this stoichiometry: 0.00 eV/f.u.
* space group: No. 122
* E_form (uncorrected): 0.429 eV per atom